VASP calculation (GGA+U) on crystalline Al2FeSiO6 at its relaxed geometry.

a b c (Å): 8.7730 10.4835 5.4809
angles (deg): 90.00 115.50 90.00
With the nearest neighbours (Å) after each atom.
Space group C2/c (No. 15)
Inequivalent atoms, fractional coordinates:
Al1 0.1309 0.0810 0.1677 (multiplicity 8)  4 O 1.77-1.93
Fe1 0.0000 0.4005 0.2500 (multiplicity 4)  6 O 2.13-2.37
Si1 0.0000 0.3150 0.7500 (multiplicity 4)  4 O 1.63-1.67
O1 0.0971 0.2428 0.0393 (multiplicity 8)  1 Si 1.63, 1 Al 1.81
O2 0.1216 0.0599 0.4819 (multiplicity 8)  2 Al 1.77-1.78
O3 0.1258 0.4139 0.6800 (multiplicity 8)  1 Si 1.67

Calculated values
E = -7.393 eV/atom